## Sr2MnTe (PBE)

Data for a geometry-optimized Sr2MnTe structure.

```
Sr2MnTe
1.0
4.121 0.000 0.000
0.000 4.121 0.000
0.000 0.000 7.653
Sr Te Mn
2 1 1
Cartesian
0.000 0.000 3.817
0.000 0.000 0.009
2.061 2.061 1.913
2.061 2.061 5.740
```

Summary:
- Uncorrected energy: -4.316 eV per atom
- DOS(E_F): 3.32 states/eV/f.u.
- Raw formation energy: -0.397 eV per atom
- Magnetic moment: 4.044 μB per formula unit
- Calculated volume: 32.5 Å³ per atom
- SG: P4/mmm
- Crystal system: tetragonal